Here is an optimized crystal structure of ThSi3Ni5 from Alexandria via LeMat-Bulk. Energies are from GGA-PBE.

Unit cell a=3.709 b=6.149 c=11.613 alpha=90.00 beta=90.00 gamma=107.55
Fractional positions:
1 Ni 0.803 0.605 0.431
2 Ni 0.452 0.903 0.353
3 Ni 0.197 0.395 0.569
4 Ni 0.452 0.903 0.147
5 Ni 0.548 0.097 0.647
6 Ni 0.803 0.605 0.069
7 Ni 0.000 0.000 0.000
8 Ni 0.548 0.097 0.853
9 Ni 0.000 0.000 0.500
10 Ni 0.197 0.395 0.931
11 Si 0.383 0.766 0.537
12 Si 0.617 0.234 0.463
13 Si 0.887 0.775 0.250
14 Si 0.617 0.234 0.037
15 Si 0.383 0.766 0.963
16 Si 0.113 0.225 0.750
17 Th 0.163 0.326 0.250
18 Th 0.837 0.674 0.750

Summary:
Energy (eV per atom): -6.54
Magnetic moment (μB per cell): 0.0
Formation energy from raw total energies (kJ/mol of formula units): -601